Entry 1:
! La3Mg3Pd2Pt (PBE-GGA, relaxed); values from VASP
! * symmetry: P-62m, No. 189
&SYSTEM
  ibrav = 0, nat = 9, ntyp = 4
/
ATOMIC_SPECIES
La 138.91 La.upf
Mg 24.30 Mg.upf
Pd 106.42 Pd.upf
Pt 195.08 Pt.upf
CELL_PARAMETERS angstrom
7.697 0.000 0.000
-3.848 6.666 0.000
0.000 0.000 4.193
ATOMIC_POSITIONS crystal
La 0.000 0.413 0.000
La 0.413 0.000 0.000
La 0.587 0.587 0.000
Mg 0.000 0.766 0.500
Mg 0.234 0.234 0.500
Mg 0.766 0.000 0.500
Pd 0.333 0.667 0.500
Pd 0.667 0.333 0.500
Pt 0.000 0.000 0.000



Entry 2:
! LaMg4ScPd2 (PBE-GGA, relaxed); values from VASP
! * symmetry: Amm2, No. 38
&SYSTEM
  ibrav = 0, nat = 8, ntyp = 4
/
ATOMIC_SPECIES
La 138.91 La.upf
Mg 24.30 Mg.upf
Sc 44.96 Sc.upf
Pd 106.42 Pd.upf
CELL_PARAMETERS angstrom
7.743 0.000 0.000
0.000 1.652 9.712
0.000 -1.652 9.712
ATOMIC_POSITIONS crystal
La 0.000 0.000 0.000
Mg 0.288 0.216 0.216
Mg 0.317 0.863 0.863
Mg 0.683 0.863 0.863
Mg 0.712 0.216 0.216
Sc 0.000 0.346 0.346
Pd 0.000 0.128 0.128
Pd 0.000 0.742 0.742



Entry 3:
! LaMgSi2Pd (PBE-GGA, relaxed); values from VASP
! * symmetry: I-4m2, No. 119
&SYSTEM
  ibrav = 0, nat = 5, ntyp = 4
/
ATOMIC_SPECIES
La 138.91 La.upf
Mg 24.30 Mg.upf
Si 28.09 Si.upf
Pd 106.42 Pd.upf
CELL_PARAMETERS angstrom
-2.106 2.106 5.422
2.106 -2.106 5.422
2.106 2.106 -5.422
ATOMIC_POSITIONS crystal
La 0.000 0.000 0.000
Mg 0.250 0.750 0.500
Si 0.391 0.391 0.000
Si 0.609 0.609 0.000
Pd 0.750 0.250 0.500



Total energy: -4.731, -3.400, -5.270 (eV/atom)